No. 1
First-principles (GGA-PBEsol) data for CoAg2GeB after structural relaxation, as listed in the Alexandria database.

Computed properties:
**Energy relative to the elements**: 1.479 eV per atom
**Crystal system**: tetragonal

```
data_CoAg2GeB
_symmetry_space_group_name_H-M 'P 4/m m m'
_symmetry_Int_Tables_number 123
_symmetry_space_group_name_Hall '-P 4 2'
_cell_length_a 4.7491
_cell_length_b 4.7491
_cell_length_c 4.2584
_cell_angle_alpha 90.00
_cell_angle_beta 90.00
_cell_angle_gamma 90.00
loop_
_atom_site_label
_atom_site_type_symbol
_atom_site_fract_x
_atom_site_fract_y
_atom_site_fract_z
Co1 Co 0.0000 0.0000 0.0000
Ag1 Ag 0.0000 0.5000 0.0000
Ge1 Ge 0.0000 0.0000 0.5000
B1 B 0.5000 0.5000 0.5000
```

No. 2
First-principles (GGA-PBEsol) data for BaMoOsPb2 after structural relaxation, as listed in the Alexandria database.

Computed properties:
**Energy relative to the elements**: 2.726 eV per atom
**Crystal system**: tetragonal

```
data_BaMoOsPb2
_symmetry_space_group_name_H-M 'P 4/m m m'
_symmetry_Int_Tables_number 123
_symmetry_space_group_name_Hall '-P 4 2'
_cell_length_a 5.9361
_cell_length_b 5.9361
_cell_length_c 5.0346
_cell_angle_alpha 90.00
_cell_angle_beta 90.00
_cell_angle_gamma 90.00
loop_
_atom_site_label
_atom_site_type_symbol
_atom_site_fract_x
_atom_site_fract_y
_atom_site_fract_z
Ba1 Ba 0.0000 0.0000 0.0000
Mo1 Mo 0.5000 0.5000 0.5000
Os1 Os 0.0000 0.0000 0.5000
Pb1 Pb 0.0000 0.5000 0.0000
```

No. 3
First-principles (GGA-PBEsol) data for TmTl3 after structural relaxation, as listed in the Alexandria database.

Computed properties:
**Energy relative to the elements**: -0.246 eV per atom
**Crystal system**: cubic

```
data_TmTl3
_symmetry_space_group_name_H-M 'P m -3 m'
_symmetry_Int_Tables_number 221
_symmetry_space_group_name_Hall '-P 4 2 3'
_cell_length_a 4.6359
_cell_length_b 4.6359
_cell_length_c 4.6359
_cell_angle_alpha 90.00
_cell_angle_beta 90.00
_cell_angle_gamma 90.00
loop_
_atom_site_label
_atom_site_type_symbol
_atom_site_fract_x
_atom_site_fract_y
_atom_site_fract_z
Tm1 Tm 0.0000 0.0000 0.0000
Tl1 Tl 0.0000 0.5000 0.5000
```

No. 4
First-principles (GGA-PBEsol) data for Cr2ReTc after structural relaxation, as listed in the Alexandria database.

Computed properties:
**Energy relative to the elements**: 0.068 eV per atom
**Crystal system**: tetragonal

```
data_Cr2ReTc
_symmetry_space_group_name_H-M 'P 4/m m m'
_symmetry_Int_Tables_number 123
_symmetry_space_group_name_Hall '-P 4 2'
_cell_length_a 4.1629
_cell_length_b 4.1629
_cell_length_c 2.9528
_cell_angle_alpha 90.00
_cell_angle_beta 90.00
_cell_angle_gamma 90.00
loop_
_atom_site_label
_atom_site_type_symbol
_atom_site_fract_x
_atom_site_fract_y
_atom_site_fract_z
Cr1 Cr 0.0000 0.5000 0.0000
Re1 Re 0.0000 0.0000 0.5000
Tc1 Tc 0.5000 0.5000 0.5000
```

No. 5
First-principles (GGA-PBEsol) data for CeBr3 after structural relaxation, as listed in the Alexandria database.

Computed properties:
**Energy relative to the elements, uncorrected**: -41.221 kcal/mol of atoms
**Crystal system**: hexagonal

```
data_CeBr3
_symmetry_space_group_name_H-M 'P 63/m'
_symmetry_Int_Tables_number 176
_symmetry_space_group_name_Hall '-P 6c'
_cell_length_a 7.9145
_cell_length_b 7.9145
_cell_length_c 4.3394
_cell_angle_alpha 90.00
_cell_angle_beta 90.00
_cell_angle_gamma 120.00
loop_
_atom_site_label
_atom_site_type_symbol
_atom_site_fract_x
_atom_site_fract_y
_atom_site_fract_z
Ce1 Ce 0.3333 0.6667 0.2500
Br1 Br 0.0863 0.7004 0.7500
```

No. 6
First-principles (GGA-PBEsol) data for MgAsN3 after structural relaxation, as listed in the Alexandria database.

Computed properties:
**Energy relative to the elements, uncorrected**: 19.473 kcal/mol of atoms
**Crystal system**: cubic

```
data_MgAsN3
_symmetry_space_group_name_H-M 'P m -3 m'
_symmetry_Int_Tables_number 221
_symmetry_space_group_name_Hall '-P 4 2 3'
_cell_length_a 3.7434
_cell_length_b 3.7434
_cell_length_c 3.7434
_cell_angle_alpha 90.00
_cell_angle_beta 90.00
_cell_angle_gamma 90.00
loop_
_atom_site_label
_atom_site_type_symbol
_atom_site_fract_x
_atom_site_fract_y
_atom_site_fract_z
Mg1 Mg 0.0000 0.0000 0.0000
As1 As 0.5000 0.5000 0.5000
N1 N 0.0000 0.5000 0.5000
```

No. 7
First-principles (GGA-PBEsol) data for CaBPt2I after structural relaxation, as listed in the Alexandria database.

Computed properties:
**Energy relative to the elements, uncorrected**: 22.437 kcal/mol of atoms
**Crystal system**: tetragonal

```
data_CaBPt2I
_symmetry_space_group_name_H-M 'P 4/m m m'
_symmetry_Int_Tables_number 123
_symmetry_space_group_name_Hall '-P 4 2'
_cell_length_a 5.0699
_cell_length_b 5.0699
_cell_length_c 4.3951
_cell_angle_alpha 90.00
_cell_angle_beta 90.00
_cell_angle_gamma 90.00
loop_
_atom_site_label
_atom_site_type_symbol
_atom_site_fract_x
_atom_site_fract_y
_atom_site_fract_z
Ca1 Ca 0.0000 0.0000 0.0000
B1 B 0.5000 0.5000 0.0000
Pt1 Pt 0.0000 0.5000 0.5000
I1 I 0.5000 0.5000 0.5000
```

No. 8
First-principles (GGA-PBEsol) data for KTe3O6F after structural relaxation, as listed in the Alexandria database.

Computed properties:
**Energy relative to the elements, uncorrected**: -31.640 kcal/mol of atoms
**Crystal system**: trigonal

```
data_KTe3O6F
_symmetry_space_group_name_H-M 'R -3'
_symmetry_Int_Tables_number 148
_symmetry_space_group_name_Hall '-R 3'
_cell_length_a 9.4656
_cell_length_b 9.4656
_cell_length_c 13.7498
_cell_angle_alpha 90.00
_cell_angle_beta 90.00
_cell_angle_gamma 120.00
loop_
_atom_site_label
_atom_site_type_symbol
_atom_site_fract_x
_atom_site_fract_y
_atom_site_fract_z
K1 K 0.0000 0.0000 0.1521
Te1 Te 0.0180 0.2643 0.6275
O1 O 0.0353 0.4760 0.6198
O2 O 0.0353 0.5695 0.9171
F1 F 0.0000 0.0000 0.3474
```

No. 9
First-principles (GGA-PBEsol) data for KSrI2N after structural relaxation, as listed in the Alexandria database.

Computed properties:
**Energy relative to the elements, uncorrected**: 0.925 kcal/mol of atoms
**Crystal system**: tetragonal

```
data_KSrI2N
_symmetry_space_group_name_H-M 'P 4/m m m'
_symmetry_Int_Tables_number 123
_symmetry_space_group_name_Hall '-P 4 2'
_cell_length_a 6.1502
_cell_length_b 6.1502
_cell_length_c 4.8263
_cell_angle_alpha 90.00
_cell_angle_beta 90.00
_cell_angle_gamma 90.00
loop_
_atom_site_label
_atom_site_type_symbol
_atom_site_fract_x
_atom_site_fract_y
_atom_site_fract_z
K1 K 0.0000 0.0000 0.0000
Sr1 Sr 0.5000 0.5000 0.5000
I1 I 0.0000 0.5000 0.0000
N1 N 0.0000 0.0000 0.5000
```

No. 10
First-principles (GGA-PBEsol) data for KSc3W after structural relaxation, as listed in the Alexandria database.

Computed properties:
**Energy relative to the elements**: 1.811 eV per atom
**Crystal system**: cubic

```
data_KSc3W
_symmetry_space_group_name_H-M 'P m -3 m'
_symmetry_Int_Tables_number 221
_symmetry_space_group_name_Hall '-P 4 2 3'
_cell_length_a 4.6350
_cell_length_b 4.6350
_cell_length_c 4.6350
_cell_angle_alpha 90.00
_cell_angle_beta 90.00
_cell_angle_gamma 90.00
loop_
_atom_site_label
_atom_site_type_symbol
_atom_site_fract_x
_atom_site_fract_y
_atom_site_fract_z
K1 K 0.0000 0.0000 0.0000
Sc1 Sc 0.0000 0.0000 0.5000
W1 W 0.5000 0.5000 0.5000
```

No. 11
First-principles (GGA-PBEsol) data for Mg5As after structural relaxation, as listed in the Alexandria database.

Computed properties:
**Energy relative to the elements**: -0.069 eV per atom
**ΔE to the lowest computed polymorph**: 0.003 eV per atom
**Crystal system**: orthorhombic

```
data_Mg5As
_symmetry_space_group_name_H-M 'A m m 2'
_symmetry_Int_Tables_number 38
_symmetry_space_group_name_Hall 'A 2 -2'
_cell_length_a 5.0206
_cell_length_b 3.2221
_cell_length_c 15.6734
_cell_angle_alpha 90.00
_cell_angle_beta 90.00
_cell_angle_gamma 90.00
loop_
_atom_site_label
_atom_site_type_symbol
_atom_site_fract_x
_atom_site_fract_y
_atom_site_fract_z
Mg1 Mg 0.0000 0.0000 0.0000
Mg2 Mg 0.0000 0.0000 0.3219
Mg3 Mg 0.5000 0.0000 0.2083
Mg4 Mg 0.5000 0.0000 0.5461
Mg5 Mg 0.5000 0.0000 0.8802
As1 As 0.0000 0.0000 0.6564
```

No. 12
First-principles (GGA-PBEsol) data for Na2S after structural relaxation, as listed in the Alexandria database.

Computed properties:
**Energy relative to the elements, uncorrected**: -24.521 kcal/mol of atoms
**Crystal system**: cubic

```
data_Na2S
_symmetry_space_group_name_H-M 'F m -3 m'
_symmetry_Int_Tables_number 225
_symmetry_space_group_name_Hall '-F 4 2 3'
_cell_length_a 6.5029
_cell_length_b 6.5029
_cell_length_c 6.5029
_cell_angle_alpha 90.00
_cell_angle_beta 90.00
_cell_angle_gamma 90.00
loop_
_atom_site_label
_atom_site_type_symbol
_atom_site_fract_x
_atom_site_fract_y
_atom_site_fract_z
Na1 Na 0.2500 0.2500 0.2500
S1 S 0.0000 0.0000 0.0000
```

In the order shown, the computed total DFT energy (no corrections) values come out to -18.9 -20.5 -13.8 -44.8 -19.4 -28.2 -20.0 -60.2 -14.8 -25.7 -14.1 -10.4 eV per formula unit.